[1]
Density functional theory data (PBE) for an optimized crystal structure of CsTl2TcF6.

M_tot	3.99	Bohr magnetons per cell
space-group type	Pmmn (59)
uncorrected formation energy	-2.03	eV per atom

a b c (Å): 6.1099 9.5315 7.8962
angles (deg): 90.00 90.00 90.00
Last column: nearest neighbours and their distance in Å.
Positions (direct):
Cs  0.2500  0.2500  0.1669  6 F 2.92-3.05
Cs  0.7500  0.7500  0.8331  6 F 2.92-3.05
Tl  0.2500  0.0467  0.6595  5 F 2.71-2.96
Tl  0.2500  0.4533  0.6595  5 F 2.71-2.96
Tl  0.7500  0.5467  0.3405  5 F 2.71-2.96
Tl  0.7500  0.9533  0.3405  5 F 2.71-2.96
Tc  0.2500  0.7500  0.3208  6 F 2.02-2.09
Tc  0.7500  0.2500  0.6792  6 F 2.02-2.09
F  0.0110  0.7500  0.5045  1 Tc 2.06
F  0.0126  0.7500  0.1419  1 Tc 2.02
F  0.2500  0.5313  0.3298  1 Tc 2.09
F  0.2500  0.9687  0.3298  1 Tc 2.09
F  0.4874  0.7500  0.1419  1 Tc 2.02
F  0.4890  0.7500  0.5045  1 Tc 2.06
F  0.5110  0.2500  0.4955  1 Tc 2.06
F  0.5126  0.2500  0.8581  1 Tc 2.02
F  0.7500  0.0313  0.6702  1 Tc 2.09
F  0.7500  0.4687  0.6702  1 Tc 2.09
F  0.9874  0.2500  0.8581  1 Tc 2.02
F  0.9890  0.2500  0.4955  1 Tc 2.06

[2]
Density functional theory data (PBE) for an optimized crystal structure of Pm2BiF.

E above lowest polymorph	0.3183	eV per atom
M_tot	1.91	Bohr magnetons per cell
space-group type	Fm-3m (225)
uncorrected formation energy	-1.28	eV per atom

a b c (Å): 7.4569 7.4569 7.4569
angles (deg): 90.00 90.00 90.00
Last column: nearest neighbours and their distance in Å.
Positions (direct):
Pm  0.2500  0.2500  0.2500  4 F 3.23, 4 Bi 3.23
Pm  0.2500  0.2500  0.7500  4 F 3.23, 4 Bi 3.23
Pm  0.2500  0.7500  0.2500  4 F 3.23, 4 Bi 3.23
Pm  0.2500  0.7500  0.7500  4 F 3.23, 4 Bi 3.23
Pm  0.7500  0.2500  0.2500  4 F 3.23, 4 Bi 3.23
Pm  0.7500  0.2500  0.7500  4 F 3.23, 4 Bi 3.23
Pm  0.7500  0.7500  0.2500  4 F 3.23, 4 Bi 3.23
Pm  0.7500  0.7500  0.7500  4 F 3.23, 4 Bi 3.23
Bi  0.0000  0.0000  0.0000  8 Pm 3.23
Bi  0.0000  0.5000  0.5000  8 Pm 3.23
Bi  0.5000  0.0000  0.5000  8 Pm 3.23
Bi  0.5000  0.5000  0.0000  8 Pm 3.23
F  0.0000  0.0000  0.5000  8 Pm 3.23
F  0.0000  0.5000  0.0000  8 Pm 3.23
F  0.5000  0.0000  0.0000  8 Pm 3.23
F  0.5000  0.5000  0.5000  8 Pm 3.23

[3]
Density functional theory data (PBE) for an optimized crystal structure of Nd4Te2PRh.

M_tot	0.00	Bohr magnetons per cell
space-group type	P2/m (10)
uncorrected formation energy	-1.26	eV per atom

a b c (Å): 7.4832 4.2518 7.7143
angles (deg): 90.00 108.26 90.00
Last column: nearest neighbours and their distance in Å.
Positions (direct):
Nd  0.2361  0.0000  0.2118  2 Rh 2.92, 1 P 2.93, 3 Te 3.24-3.26
Nd  0.2595  0.5000  0.7870  1 Rh 2.91, 2 P 2.93, 2 Te 3.24
Nd  0.7405  0.5000  0.2130  1 Rh 2.91, 2 P 2.93, 2 Te 3.24
Nd  0.7639  0.0000  0.7882  2 Rh 2.92, 1 P 2.93, 3 Te 3.24-3.26
Te  0.0000  0.0000  0.5000  6 Nd 3.24
Te  0.5000  0.5000  0.5000  6 Nd 3.26
P  0.5000  0.0000  0.0000  6 Nd 2.93
Rh  0.0000  0.5000  0.0000  6 Nd 2.91-2.92

[4]
Density functional theory data (PBE) for an optimized crystal structure of CsK14Li.

M_tot	0.00	Bohr magnetons per cell
space-group type	P4/mmm (123)
ΔH_f (0 K)	36	meV per atom

a b c (Å): 10.2246 10.2246 10.8847
angles (deg): 90.00 90.00 90.00
Last column: nearest neighbours and their distance in Å.
Positions (direct):
Cs  0.0000  0.0000  0.0000  12 K 4.69-5.11
K  0.0000  0.0000  0.5000  12 K 4.82-5.11
K  0.0000  0.5000  0.0000  8 K 4.47
K  0.0000  0.5000  0.5000  12 K 4.60-5.11
K  0.2695  0.2695  0.2398  1 Li 4.23, 7 K 4.37-4.71, 1 Cs 4.69
K  0.2695  0.2695  0.7602  1 Li 4.23, 7 K 4.37-4.71, 1 Cs 4.69
K  0.2695  0.7305  0.2398  1 Li 4.23, 7 K 4.37-4.71, 1 Cs 4.69
K  0.2695  0.7305  0.7602  1 Li 4.23, 7 K 4.37-4.71, 1 Cs 4.69
K  0.5000  0.0000  0.0000  8 K 4.47
K  0.5000  0.0000  0.5000  12 K 4.60-5.11
K  0.5000  0.5000  0.5000  8 K 4.37
K  0.7305  0.2695  0.2398  1 Li 4.23, 7 K 4.37-4.71, 1 Cs 4.69
K  0.7305  0.2695  0.7602  1 Li 4.23, 7 K 4.37-4.71, 1 Cs 4.69
K  0.7305  0.7305  0.2398  1 Li 4.23, 7 K 4.37-4.71, 1 Cs 4.69
K  0.7305  0.7305  0.7602  1 Li 4.23, 7 K 4.37-4.71, 1 Cs 4.69
Li  0.5000  0.5000  0.0000  8 K 4.23

[5]
Density functional theory data (PBE) for an optimized crystal structure of La2AlCl.

E above lowest polymorph	0.7703	eV per atom
M_tot	0.00	Bohr magnetons per cell
space-group type	F-43m (216)
uncorrected formation energy	-0.18	eV per atom

a b c (Å): 7.5557 7.5557 7.5557
angles (deg): 90.00 90.00 90.00
Last column: nearest neighbours and their distance in Å.
Positions (direct):
La  0.0000  0.0000  0.0000  4 La 3.27, 4 Cl 3.27
La  0.0000  0.5000  0.5000  4 La 3.27, 4 Cl 3.27
La  0.2500  0.2500  0.2500  4 La 3.27, 4 Al 3.27
La  0.2500  0.7500  0.7500  4 La 3.27, 4 Al 3.27
La  0.5000  0.0000  0.5000  4 La 3.27, 4 Cl 3.27
La  0.5000  0.5000  0.0000  4 La 3.27, 4 Cl 3.27
La  0.7500  0.2500  0.7500  4 La 3.27, 4 Al 3.27
La  0.7500  0.7500  0.2500  4 La 3.27, 4 Al 3.27
Al  0.0000  0.0000  0.5000  4 Cl 3.27, 4 La 3.27
Al  0.0000  0.5000  0.0000  4 Cl 3.27, 4 La 3.27
Al  0.5000  0.0000  0.0000  4 Cl 3.27, 4 La 3.27
Al  0.5000  0.5000  0.5000  4 Cl 3.27, 4 La 3.27
Cl  0.2500  0.2500  0.7500  4 La 3.27, 4 Al 3.27
Cl  0.2500  0.7500  0.2500  4 La 3.27, 4 Al 3.27
Cl  0.7500  0.2500  0.2500  4 La 3.27, 4 Al 3.27
Cl  0.7500  0.7500  0.7500  4 La 3.27, 4 Al 3.27

[6]
Density functional theory data (PBE) for an optimized crystal structure of Y2InO4.

M_tot	0.00	Bohr magnetons per cell
space-group type	Pbam (55)
uncorrected formation energy	-2.59	eV per atom

a b c (Å): 5.8959 10.0689 3.3555
angles (deg): 90.00 90.00 90.00
Last column: nearest neighbours and their distance in Å.
Positions (direct):
Y  0.0573  0.1716  0.0000  6 O 2.26-2.40
Y  0.4427  0.6716  0.0000  6 O 2.26-2.40
Y  0.5573  0.3284  0.0000  6 O 2.26-2.40
Y  0.9427  0.8284  0.0000  6 O 2.26-2.40
In  0.0000  0.5000  0.5000  6 O 2.30-2.40
In  0.5000  0.0000  0.5000  6 O 2.30-2.40
O  0.1643  0.7184  0.5000  4 Y 2.39-2.40, 1 In 2.40
O  0.2385  0.9710  0.0000  2 Y 2.26-2.29, 2 In 2.30
O  0.2615  0.4710  0.0000  2 Y 2.26-2.29, 2 In 2.30
O  0.3357  0.2184  0.5000  4 Y 2.39-2.40, 1 In 2.40
O  0.6643  0.7816  0.5000  4 Y 2.39-2.40, 1 In 2.40
O  0.7385  0.5290  0.0000  2 Y 2.26-2.29, 2 In 2.30
O  0.7615  0.0290  0.0000  2 Y 2.26-2.29, 2 In 2.30
O  0.8357  0.2816  0.5000  4 Y 2.39-2.40, 1 In 2.40

[7]
Density functional theory data (PBE) for an optimized crystal structure of PrMgGe2Pd5.

M_tot	0.00	Bohr magnetons per cell
space-group type	P4/mmm (123)
ΔH_f (0 K)	-589	meV per atom

a b c (Å): 4.2758 4.2758 9.0585
angles (deg): 90.00 90.00 90.00
Last column: nearest neighbours and their distance in Å.
Positions (direct):
Pr  0.0000  0.0000  0.0000  12 Pd 3.02
Mg  0.0000  0.0000  0.5000  8 Pd 3.21, 8 Ge 3.25
Ge  0.5000  0.5000  0.3682  1 Ge 2.39, 4 Pd 2.45
Ge  0.5000  0.5000  0.6318  1 Ge 2.39, 4 Pd 2.45
Pd  0.0000  0.5000  0.2358  2 Ge 2.45
Pd  0.0000  0.5000  0.7642  2 Ge 2.45
Pd  0.5000  0.0000  0.2358  2 Ge 2.45
Pd  0.5000  0.0000  0.7642  2 Ge 2.45
Pd  0.5000  0.5000  0.0000  8 Pd 3.02, 4 Pr 3.02, 2 Ge 3.34

[8]
Density functional theory data (PBE) for an optimized crystal structure of CsSr2Ac.

E above lowest polymorph	0.0000	eV per atom
M_tot	0.00	Bohr magnetons per cell
space-group type	P4/mmm (123)
ΔH_f (0 K)	149	meV per atom

a b c (Å): 4.2719 4.2719 13.1978
angles (deg): 90.00 90.00 90.00
Last column: nearest neighbours and their distance in Å.
Positions (direct):
Cs  0.0000  0.0000  0.0000  4 Cs 4.27
Sr  0.5000  0.5000  0.2918  4 Ac 4.08, 4 Sr 4.27
Sr  0.5000  0.5000  0.7082  4 Ac 4.08, 4 Sr 4.27
Ac  0.0000  0.0000  0.5000  8 Sr 4.08, 4 Ac 4.27

[9]
Density functional theory data (PBE) for an optimized crystal structure of BeRh2.

M_tot	0.00	Bohr magnetons per cell
space-group type	Pnma (62)
ΔH_f (0 K)	-299	meV per atom

a b c (Å): 5.1394 3.8792 7.3197
angles (deg): 90.00 90.00 90.00
Last column: nearest neighbours and their distance in Å.
Positions (direct):
Be  0.1968  0.2500  0.1022  7 Rh 2.38-2.45
Be  0.3032  0.7500  0.6022  7 Rh 2.38-2.45
Be  0.6968  0.2500  0.3978  7 Rh 2.38-2.45
Be  0.8032  0.7500  0.8978  7 Rh 2.38-2.45
Rh  0.0248  0.2500  0.7894  3 Be 2.38-2.45, 2 Rh 2.63
Rh  0.1700  0.2500  0.4358  4 Be 2.39-2.45
Rh  0.3300  0.7500  0.9358  4 Be 2.39-2.45
Rh  0.4752  0.7500  0.2894  3 Be 2.38-2.45, 2 Rh 2.63
Rh  0.5248  0.2500  0.7106  3 Be 2.38-2.45, 2 Rh 2.63
Rh  0.6700  0.2500  0.0642  4 Be 2.39-2.45
Rh  0.8300  0.7500  0.5642  4 Be 2.39-2.45
Rh  0.9752  0.7500  0.2106  3 Be 2.38-2.45, 2 Rh 2.63

[10]
Density functional theory data (PBE) for an optimized crystal structure of ReBPS2.

E above lowest polymorph	0.0000	eV per atom
M_tot	0.84	Bohr magnetons per cell
space-group type	P4/mmm (123)
uncorrected formation energy	1.09	eV per atom

a b c (Å): 4.0665 4.0665 3.9836
angles (deg): 90.00 90.00 90.00
Last column: nearest neighbours and their distance in Å.
Positions (direct):
Re  0.0000  0.0000  0.0000  8 S 2.85, 4 P 2.88
B  0.5000  0.5000  0.5000  2 P 1.99, 4 S 2.03
P  0.5000  0.5000  0.0000  2 B 1.99
S  0.0000  0.5000  0.5000  2 B 2.03
S  0.5000  0.0000  0.5000  2 B 2.03

[11]
Density functional theory data (PBE) for an optimized crystal structure of Tl3HgSe2O8.

M_tot	0.00	Bohr magnetons per cell
space-group type	P-3m1 (164)
uncorrected formation energy	-0.67	eV per atom

a b c (Å): 6.2107 6.2107 8.0712
angles (deg): 90.00 90.00 120.00
Last column: nearest neighbours and their distance in Å.
Positions (direct):
Tl  0.0000  0.0000  0.0000  6 O 3.00
Tl  0.3333  0.6667  0.6810  1 O 2.58
Tl  0.6667  0.3333  0.3190  1 O 2.58
Hg  0.0000  0.0000  0.5000  6 O 2.67
Se  0.3333  0.6667  0.2070  4 O 1.67-1.70
Se  0.6667  0.3333  0.7930  4 O 1.67-1.70
O  0.1848  0.3696  0.2783  1 Se 1.70
O  0.1848  0.8152  0.2783  1 Se 1.70
O  0.3333  0.6667  0.0003  1 Se 1.67
O  0.3696  0.1848  0.7217  1 Se 1.70
O  0.6304  0.8152  0.2783  1 Se 1.70
O  0.6667  0.3333  0.9997  1 Se 1.67
O  0.8152  0.1848  0.7217  1 Se 1.70
O  0.8152  0.6304  0.7217  1 Se 1.70

[12]
Density functional theory data (PBE) for an optimized crystal structure of Pr4C.

M_tot	0.00	Bohr magnetons per cell
space-group type	Pm-3m (221)
ΔH_f (0 K)	121	meV per atom

a b c (Å): 5.3013 5.3013 5.3013
angles (deg): 90.00 90.00 90.00
Last column: nearest neighbours and their distance in Å.
Positions (direct):
Pr  0.0000  0.0000  0.0000  12 Pr 3.75
Pr  0.0000  0.5000  0.5000  2 C 2.65
Pr  0.5000  0.0000  0.5000  2 C 2.65
Pr  0.5000  0.5000  0.0000  2 C 2.65
C  0.5000  0.5000  0.5000  6 Pr 2.65

Calculated energy in order - -4.753, -5.095, -6.020, -1.098, -4.036, -7.662, -5.208, -1.932, -6.442, -5.470, -4.529, -5.548 eV per atom